Entry 1:
Computed, not measured: an optimized crystal structure of RbNaAgAs at the PBE level of DFT.

It has space group Ama2 (No. 40), with a = 6.078 Å, b = 7.877 Å, c = 9.739 Å, α = 90.00°, β = 90.00° and γ = 90.00°. Symmetry generates all atoms from Rb at (0.250, 0.147, 0.000), Na at (0.250, 0.147, 0.352), Ag at (0.000, 0.000, 0.677) and As at (0.250, 0.261, 0.662).

The calculated volume comes out at 466.2 Å³/cell. For the excess energy over the best structure of this formula in the dataset, the calculation gives 0.0355 eV per atom. The total energy is -44.2 eV/cell.



Entry 2:
Computed, not measured: an optimized crystal structure of TbYCo2Pb at the PBE level of DFT.

It has space group Amm2 (No. 38), with a = 3.863 Å, b = 3.867 Å, c = 14.170 Å, α = 90.00°, β = 90.00° and γ = 90.00°. Symmetry generates all atoms from Tb at (0.000, 0.000, 0.000), Y at (0.000, 0.000, 0.721), Co at (0.500, 0.000, 0.152), Co at (0.500, 0.000, 0.567) and Pb at (0.500, 0.000, 0.360).

The calculated volume comes out at 211.7 Å³/cell. The total energy is -61.4 eV/cell.



Entry 3:
Computed, not measured: an optimized crystal structure of PrFe at the PBE level of DFT.

It has space group P-6m2 (No. 187), with a = 3.4895 Å, b = 3.4895 Å, c = 4.3069 Å, α = 90.00°, β = 90.00° and γ = 120.00°. Symmetry generates all atoms from Pr at (0.0000, 0.0000, 0.0000) and Fe at (0.3333, 0.6667, 0.5000).

The calculated volume comes out at 45.4 Å³/cell. The total energy is -11.7 eV/cell.



Entry 4:
Computed, not measured: an optimized crystal structure of LiBeInFe at the PBE level of DFT.

It has space group F-43m (No. 216), with a = 5.934 Å, b = 5.934 Å, c = 5.934 Å, α = 90.00°, β = 90.00° and γ = 90.00°. Symmetry generates all atoms from Li at (0.000, 0.000, 0.000), Be at (0.000, 0.000, 0.500), In at (0.250, 0.250, 0.250) and Fe at (0.250, 0.250, 0.750).

The calculated volume comes out at 208.9 Å³/cell. For the excess energy over the best structure of this formula in the dataset, the calculation gives 0.0182 eV per atom. The total energy is -63.3 eV/cell.



Entry 5:
Computed, not measured: an optimized crystal structure of BaTaTe at the PBE level of DFT.

It has space group F-43m (No. 216), with a = 7.413 Å, b = 7.413 Å, c = 7.413 Å, α = 90.00°, β = 90.00° and γ = 90.00°. Symmetry generates all atoms from Ba at (0.000, 0.000, 0.000), Ta at (0.250, 0.250, 0.250) and Te at (0.000, 0.000, 0.500).

The calculated volume comes out at 407.3 Å³/cell. For the excess energy over the best structure of this formula in the dataset, the calculation gives 0.0000 eV per atom. The total energy is -58.5 eV/cell.



Entry 6:
Computed, not measured: an optimized crystal structure of SrGaSnIrPd at the PBE level of DFT.

It has space group P4/nmm (No. 129, origin choice 2), with a = 4.587 Å, b = 4.587 Å, c = 10.345 Å, α = 90.00°, β = 90.00° and γ = 90.00°. Symmetry generates all atoms from Sr at (0.250, 0.250, 0.241), Ga at (0.250, 0.750, 0.000), Sn at (0.250, 0.250, 0.636), Ir at (0.250, 0.250, 0.892) and Pd at (0.250, 0.750, 0.500).

The calculated volume comes out at 217.7 Å³/cell. For the excess energy over the best structure of this formula in the dataset, the calculation gives 0.0000 eV per atom. The total energy is -51.7 eV/cell.



Entry 7:
Computed, not measured: an optimized crystal structure of KIn4Au4 at the PBE level of DFT.

It has space group P4_2/nmc (No. 137, origin choice 2), with a = 7.139 Å, b = 7.139 Å, c = 9.244 Å, α = 90.00°, β = 90.00° and γ = 90.00°. Symmetry generates all atoms from K at (0.250, 0.750, 0.250), In at (0.002, 0.250, 0.118) and Au at (0.051, 0.250, 0.422).

The calculated volume comes out at 471.0 Å³/cell. The total energy is -55.3 eV/cell.



Entry 8:
Computed, not measured: an optimized crystal structure of Nb4GeBiC2 at the PBE level of DFT.

It has space group P-6m2 (No. 187), with a = 3.3143 Å, b = 3.3143 Å, c = 13.2681 Å, α = 90.00°, β = 90.00° and γ = 120.00°. Symmetry generates all atoms from Nb at (0.0000, 0.0000, 0.1486), Nb at (0.6667, 0.3333, 0.3197), Ge at (0.6667, 0.3333, 0.0000), Bi at (0.0000, 0.0000, 0.5000) and C at (0.3333, 0.6667, 0.2364).

The calculated volume comes out at 126.2 Å³/cell. The total energy is -70.3 eV/cell.



Entry 9:
Computed, not measured: an optimized crystal structure of LiNdCu3Te4 at the PBE level of DFT.

It has space group P-43m (No. 215), with a = 6.325 Å, b = 6.325 Å, c = 6.325 Å, α = 90.00°, β = 90.00° and γ = 90.00°. Symmetry generates all atoms from Li at (0.000, 0.000, 0.000), Nd at (0.500, 0.500, 0.500), Cu at (0.000, 0.500, 0.500) and Te at (0.236, 0.236, 0.236).

The calculated volume comes out at 253.0 Å³/cell. The total energy is -34.1 eV/cell.



Entry 10:
Computed, not measured: an optimized crystal structure of K3Nb2Ag3S8 at the PBE level of DFT.

It has space group C2/c (No. 15), with a = 24.683 Å, b = 5.963 Å, c = 14.180 Å, α = 90.00°, β = 119.80° and γ = 90.00°. Symmetry generates all atoms from K at (0.000, 0.000, 0.000), K at (0.194, 0.428, 0.102), Nb at (0.129, 0.294, 0.781), Ag at (0.000, 0.298, 0.750), Ag at (0.129, 0.206, 0.289), S at (0.047, 0.487, 0.152), S at (0.099, 0.085, 0.886), S at (0.160, 0.068, 0.683) and S at (0.213, 0.493, 0.395).

The calculated volume comes out at 1811.3 Å³/cell. The total energy is -316.4 eV/cell.